Record 1
{"formula": "HfMgZr2", "functional": "PBE", "state": "optimized geometry", "cell": [[-0.394, -4.058, -6.763], [5.761, -4.773, 2.528], [0.660, -6.222, -0.916]], "species": ["Hf", "Zr", "Zr", "Zr", "Zr", "Mg", "Mg", "Hf"], "fractional_positions": [[0.000, 0.000, 0.000], [0.875, 0.866, 0.750], [0.134, 0.625, 0.250], [0.375, 0.384, 0.750], [0.616, 0.125, 0.250], [0.500, 0.500, 0.000], [0.250, 0.750, 0.500], [0.750, 0.250, 0.500]], "volume_a3_per_atom": 23.129, "formation_enthalpy_0k_ev_per_atom": 0.524}

=====

Record 2
{"formula": "RbAu2I3", "functional": "PBE", "state": "optimized geometry", "cell": [[-4.367, 1.809, 3.357], [-1.915, -8.658, 2.174], [6.001, 3.004, 6.189]], "species": ["Rb", "Au", "Rb", "I", "Au", "I", "I", "Au", "I", "I", "I", "Au"], "fractional_positions": [[0.250, 0.321, 0.679], [0.500, 0.138, 0.138], [0.750, 0.679, 0.321], [0.250, 0.416, 0.161], [0.000, 0.862, 0.862], [0.250, 0.853, 0.147], [0.750, 0.147, 0.853], [0.000, 0.138, 0.138], [0.750, 0.584, 0.839], [0.250, 0.839, 0.584], [0.750, 0.161, 0.416], [0.500, 0.862, 0.862]], "volume_a3_per_atom": 38.553, "formation_energy_uncorrected_ev_per_atom": -0.441}

=====

Record 3
{"formula": "Nb2WSe4S2", "functional": "PBE", "state": "optimized geometry", "cell": [[3.373, 0.000, 0.000], [-1.686, 2.921, 0.000], [0.000, 0.000, 21.426]], "species": ["Nb", "Se", "S", "Se", "Se", "Se", "Nb", "S", "W"], "fractional_positions": [[0.667, 0.333, 0.651], [0.667, 0.333, 0.900], [0.667, 0.333, 0.257], [0.667, 0.333, 0.061], [0.000, 0.000, 0.731], [0.000, 0.000, 0.570], [0.000, 0.000, 0.981], [0.667, 0.333, 0.399], [0.000, 0.000, 0.328]], "volume_a3_per_atom": 23.449, "formation_energy_uncorrected_ev_per_atom": -0.796}